Record 1
Compound: MgNO2F
Source: Alexandria via LeMat-Bulk
Functional: PBE-GGA
Structure: optimized geometry

Cell lengths 4.001, 3.654, 4.001 Å; angles 90.00, 90.00, 90.00 degrees
Last column: magnetic moment on the atom in μB.
Element x y z (fractional)
F 0.000 0.500 0.000  -0.10
Mg 0.000 0.000 0.000  0.00
O 0.500 0.000 0.000  -0.04
N 0.500 0.500 0.500  0.08
O 0.000 0.000 0.500  0.04

Summary:
Energy: -18.996 eV/f.u.
Space group: P4/mmm, No. 123

Record 2
Compound: CdPt3Se
Source: Alexandria via LeMat-Bulk
Functional: PBE-GGA
Structure: optimized geometry

Cell lengths 4.950, 4.950, 4.950 Å; angles 90.00, 90.00, 90.00 degrees
Element x y z (fractional)
Pt 0.000 0.500 0.000
Pt 0.000 0.000 0.500
Se 0.500 0.500 0.500
Pt 0.500 0.000 0.000
Cd 0.000 0.000 0.000

Summary:
Energy: -15.421 eV/f.u.
Space group: Pm-3m, No. 221